No. 1
Entry from the Alexandria database: a relaxed BaBe2Ru crystal (PBE).

Calculated values
total moment	0.0	μB/f.u.
crystal system	orthorhombic
total DFT energy (no corrections)	-29.4	eV/cell
ΔE to the lowest computed polymorph	91.86	kJ per mole of atoms
energy of formation from the pure elements	0.991	eV per atom

Lattice parameters (Å, degrees): 5.4852 7.6831 3.1954 90.00 90.00 90.00
Space group Cmmm (No. 65)
Inequivalent atoms, fractional coordinates:
Ba (0.0000, 0.0000, 0.0000) x2
Be (0.2500, 0.2500, 0.5000) x4
Ru (0.0000, 0.5000, 0.0000) x2


No. 2
Entry from the Alexandria database: a relaxed Pr2PaH crystal (PBE).

Calculated values
total moment	0.0	μB/f.u.
crystal system	trigonal
total DFT energy (no corrections)	-65.3	eV/cell
ΔE to the lowest computed polymorph	0.00	kJ per mole of atoms

Lattice parameters (Å, degrees): 3.3375 3.3375 29.4095 90.00 90.00 120.00
Space group R-3m (No. 166, hexagonal axes)
Inequivalent atoms, fractional coordinates:
Pr (0.0000, 0.0000, 0.1116) x6
Pa (0.0000, 0.0000, 0.0000) x3
H (0.0000, 0.0000, 0.5000) x3


Question: Which of these has the lowest total DFT energy (no corrections)?
Answer: Pr2PaH


Question: Look up the total moment of the first one.
Answer: 0.0 μB/f.u.


Question: Number 2 is which compound?
Answer: Pr2PaH